1.
CsLaZrSe4 after structural relaxation, computed with PBE.

Properties
Its crystal system is monoclinic. For the uncorrected formation energy, the calculation gives -1560 meV/atom. For the density, the calculation gives 4.4 g cm⁻³. The density of states at the Fermi level is 0.0 states/eV/cell. Its energy is -0.411 Ry per atom.

Geometry as POSCAR:
```
CsLaZrSe4
1.0
-4.462 4.179 4.140
-2.442 -6.006 3.432
8.822 -0.884 4.730
Cs La Zr Se
2 2 2 8
Cartesian
3.209 -2.276 10.061
-1.290 -0.435 2.242
-1.359 -1.619 7.960
3.278 -1.091 4.343
0.067 -3.813 5.135
1.853 1.103 7.168
4.889 -3.647 5.075
-1.792 3.833 5.571
-2.970 0.936 7.227
3.711 -6.543 6.731
-2.242 -2.803 5.260
4.162 0.092 7.042
1.250 -3.107 7.212
0.669 0.397 5.090
```

---

2.
Dy3Y5Er after structural relaxation, computed with PBE.

Properties
Its crystal system is monoclinic. The value obtained for the energy relative to the elements is 0.12 eV per atom. For the density, the calculation gives 6.3 g cm⁻³. The density of states at the Fermi level is 31.8 states/eV/cell. Its energy is -0.406 Ry per atom. The value obtained for the energy above the most stable polymorph in this dataset is 0.064 eV per atom.

Geometry as POSCAR:
```
Dy3Y5Er
1.0
-4.968 3.396 8.345
2.354 -9.377 -1.125
6.004 2.504 2.556
Dy Y Er
6 10 2
Cartesian
0.000 0.000 0.000
0.945 0.740 6.602
3.002 1.252 1.278
2.445 -4.217 3.173
-2.058 -0.511 5.327
5.449 -2.966 4.449
2.933 2.951 4.554
3.727 -1.537 7.080
1.309 -3.067 -0.076
-0.337 -1.940 2.696
0.727 -2.788 5.806
-1.897 2.949 6.347
-0.925 -1.661 8.574
4.316 -1.816 1.202
2.664 -0.689 3.970
2.081 -0.410 9.852
1.097 4.206 7.639
-0.060 1.693 3.262
```